Density functional theory data (PBE) for an optimized crystal structure of Ho8PSe3S3.

```
data_Ho8PSe3S3
_space_group_name_H-M_alt 'R -3 m'
_space_group_IT_number 166
_space_group_name_Hall '-R 3 2"'
_cell_length_a 7.8683
_cell_length_b 7.8683
_cell_length_c 19.6022
_cell_angle_alpha 90.00
_cell_angle_beta 90.00
_cell_angle_gamma 120.00
loop_
_atom_site_label
_atom_site_type_symbol
_atom_site_fract_x
_atom_site_fract_y
_atom_site_fract_z
Ho1 Ho 0.0000 0.0000 0.2418
Ho2 Ho 0.0012 0.5006 0.2437
P1 P 0.0000 0.0000 0.5000
Se1 Se 0.0000 0.5000 0.0000
S1 S 0.0000 0.5000 0.5000
```

Computed properties:
DOS(E_F)   21.848 states/eV/cell
Calculated density   7.98 g cm⁻³
ΔE_f (raw)   -1.724 eV/atom